No. 1
Material: SiAgGeP3
Method: DFT, GGA-PBE
State: relaxed

Cell: 6.689 6.689 5.629 Å, 114.69 114.69 33.05°
Sites, in units of the cell vectors:
1 Si 0.000 0.000 0.000
2 Ag 0.664 0.664 0.660
3 Ge 0.331 0.331 0.330
4 P 0.161 0.161 0.374
5 P 0.492 0.492 0.755
6 P 0.842 0.842 0.084

## Properties
E in eV/atom: -4.89
Symmetry: No. 8



No. 2
Material: PmGaSn
Method: DFT, GGA-PBE
State: relaxed

Cell: 4.993 4.993 4.993 Å, 60.00 60.00 60.00°
Sites, in units of the cell vectors:
1 Pm 0.000 0.000 0.000
2 Ga 0.500 0.500 0.500
3 Sn 0.750 0.750 0.750

## Properties
E in eV/atom: -4.08
Total magnetization in μB/f.u.: 0.00
Symmetry: No. 216



No. 3
Material: PrCl2
Method: DFT, GGA-PBE
State: relaxed

Cell: 8.861 8.861 8.861 Å, 60.00 60.00 60.00°
Sites, in units of the cell vectors:
1 Pr 0.125 0.125 0.125
2 Pr 0.875 0.875 0.875
3 Cl 0.000 0.000 0.000
4 Cl 0.000 0.000 0.500
5 Cl 0.000 0.500 0.000
6 Cl 0.500 0.000 0.000

## Properties
E in eV/atom: -4.37
Total magnetization in μB/f.u.: 1.00
Symmetry: No. 227



No. 4
Material: SmHoCd2Au4
Method: DFT, GGA-PBE
State: relaxed

Cell: 4.961 4.961 7.006 Å, 90.00 90.00 90.00°
Sites, in units of the cell vectors:
1 Sm 0.000 0.000 0.000
2 Ho 0.500 0.500 0.500
3 Cd 0.000 0.000 0.500
4 Cd 0.500 0.500 0.000
5 Au 0.000 0.500 0.258
6 Au 0.000 0.500 0.742
7 Au 0.500 0.000 0.258
8 Au 0.500 0.000 0.742

## Properties
Energy relative to the elements in kJ/mol of formula units: -518
Total magnetization in μB/f.u.: 0.01
Symmetry: No. 123



No. 5
Material: LuCuNiSb
Method: DFT, GGA-PBE
State: relaxed

Cell: 4.661 4.661 4.661 Å, 60.00 60.00 60.00°
Sites, in units of the cell vectors:
1 Lu 0.000 0.000 0.000
2 Cu 0.750 0.750 0.750
3 Ni 0.500 0.500 0.500
4 Sb 0.250 0.250 0.250

## Properties
ΔE to the lowest computed polymorph in meV/atom: 198.9
Total magnetization in μB/f.u.: 0.01
Symmetry: No. 216



No. 6
Material: Cs2KHoBr6
Method: DFT, GGA-PBE
State: relaxed

Cell: 8.398 8.398 8.398 Å, 60.00 60.00 60.00°
Sites, in units of the cell vectors:
1 Cs 0.250 0.250 0.250
2 Cs 0.750 0.750 0.750
3 K 0.000 0.000 0.000
4 Ho 0.500 0.500 0.500
5 Br 0.266 0.266 0.734
6 Br 0.266 0.734 0.266
7 Br 0.266 0.734 0.734
8 Br 0.734 0.266 0.266
9 Br 0.734 0.266 0.734
10 Br 0.734 0.734 0.266

## Properties
E in eV/atom: -3.60
Total magnetization in μB/f.u.: 0.00
Symmetry: No. 225



No. 7
Material: BeAlFe
Method: DFT, GGA-PBE
State: relaxed

Cell: 4.863 3.365 7.947 Å, 90.00 90.00 90.00°
Sites, in units of the cell vectors:
1 Be 0.102 0.250 0.243
2 Be 0.398 0.750 0.743
3 Be 0.602 0.250 0.257
4 Be 0.898 0.750 0.757
5 Al 0.165 0.250 0.570
6 Al 0.335 0.750 0.070
7 Al 0.665 0.250 0.930
8 Al 0.835 0.750 0.430
9 Fe 0.152 0.250 0.871
10 Fe 0.348 0.750 0.371
11 Fe 0.652 0.250 0.629
12 Fe 0.848 0.750 0.129

## Properties
ΔE to the lowest computed polymorph in meV/atom: 0.0
Total magnetization in μB/f.u.: 0.44
Symmetry: No. 62



No. 8
Material: KTeOsO
Method: DFT, GGA-PBE
State: relaxed

Cell: 3.875 3.875 9.625 Å, 90.00 90.00 90.00°
Sites, in units of the cell vectors:
1 K 0.250 0.750 0.000
2 K 0.750 0.250 0.000
3 Te 0.250 0.250 0.272
4 Te 0.750 0.750 0.728
5 Os 0.250 0.250 0.623
6 Os 0.750 0.750 0.377
7 O 0.250 0.750 0.500
8 O 0.750 0.250 0.500

## Properties
ΔE to the lowest computed polymorph in meV/atom: 908.0
Total magnetization in μB/f.u.: 0.01
Symmetry: No. 129



Repeat the sixth record exactly.
Material: Cs2KHoBr6
Method: DFT, GGA-PBE
State: relaxed

Cell: 8.398 8.398 8.398 Å, 60.00 60.00 60.00°
Sites, in units of the cell vectors:
1 Cs 0.250 0.250 0.250
2 Cs 0.750 0.750 0.750
3 K 0.000 0.000 0.000
4 Ho 0.500 0.500 0.500
5 Br 0.266 0.266 0.734
6 Br 0.266 0.734 0.266
7 Br 0.266 0.734 0.734
8 Br 0.734 0.266 0.266
9 Br 0.734 0.266 0.734
10 Br 0.734 0.734 0.266

## Properties
E in eV/atom: -3.60
Total magnetization in μB/f.u.: 0.00
Symmetry: No. 225